CeDyMgTc after structural relaxation. Source: Alexandria via LeMat-Bulk, functional GGA-PBE.

Cell: 5.058 5.058 5.058 Å, 60.00 60.00 60.00°
Positions (direct):
1 Ce 0.750 0.750 0.750
2 Mg 0.000 0.000 0.000
3 Dy 0.250 0.250 0.250
4 Tc 0.500 0.500 0.500

Calculated values
The formation energy is 0.138 eV/f.u. The symmetry is F-43m, No. 216. As for the energy relative to the lowest polymorph listed for this composition: 115 meV/atom. The value obtained for the magnetization is 0.0001 μB/atom.